Below is SrCd2Cu after structural relaxation, with properties calculated at the PBE level.

Unit cell a=3.8049 b=5.3927 c=9.7786 alpha=90.00 beta=90.00 gamma=90.00
Last column: nearest neighbours and their distance in Å.
Space group Immm (No. 71)
Asymmetric unit:
1 Sr 0.0000 0.0000 0.0000  4 Cu 3.30, 8 Cd 3.37-3.44
2 Cd 0.0000 0.5000 0.2074  2 Cu 2.78
3 Cu 0.0000 0.0000 0.5000  4 Cd 2.78

Calculated values
Energy of formation in eV/f.u.: -0.2
DFT total energy in eV/atom: -1.96
Density of states at the Fermi level in states/eV per atom: 0.462
Magnetic moment in μB/atom: 0.0000

***

Below is LiNi6H8 after structural relaxation, with properties calculated at the PBE level.

Unit cell a=5.1120 b=5.1120 c=13.8335 alpha=90.00 beta=90.00 gamma=120.00
Last column: nearest neighbours and their distance in Å.
Space group R-3 (No. 148, hexagonal axes)
Asymmetric unit:
1 Li 0.0000 0.0000 0.0000  6 H 2.12
2 Ni 0.0044 0.5012 0.9114  4 H 1.65-1.75
3 H 0.0000 0.0000 0.3155  3 Ni 1.75
4 H 0.0437 0.5205 0.7888  3 Ni 1.65-1.71

Calculated values
DFT total energy in eV/atom: -4.25
Density of states at the Fermi level in states/eV per atom: 0.376
Magnetic moment in μB/atom: 0.0000

***

Below is La2HoAl after structural relaxation, with properties calculated at the PBE level.

Unit cell a=5.4007 b=7.0893 c=12.2793 alpha=90.00 beta=90.00 gamma=90.00
Last column: nearest neighbours and their distance in Å.
Space group Amm2 (No. 38)
Asymmetric unit:
1 La 0.0000 0.0000 0.0000  2 La 3.22, 4 Al 3.30-3.56, 4 Ho 3.49
2 La 0.0000 0.2337 0.2251  4 La 3.22-3.45, 4 Al 3.29-3.58, 2 Ho 3.50
3 La 0.5000 0.0000 0.6425  2 Ho 3.34, 4 Al 3.38-3.55, 4 La 3.45
4 Ho 0.5000 0.2333 0.4065  4 Al 3.28-3.58, 1 Ho 3.31, 5 La 3.34-3.50
5 Al 0.0000 0.0000 0.4773  4 Ho 3.28, 8 La 3.38-3.58
6 Al 0.5000 0.0000 0.1540  8 La 3.29-3.55, 4 Ho 3.51-3.58

Calculated values
Energy of formation in eV/f.u.: -0.7
DFT total energy in eV/atom: -4.72
Distance to the lowest polymorph of the same formula in eV per atom: 0.0043
Density of states at the Fermi level in states/eV per atom: 1.211
Magnetic moment in μB/atom: 0.0002

***

Below is BeP2O2 after structural relaxation, with properties calculated at the PBE level.

Unit cell a=4.4999 b=4.4999 c=2.9348 alpha=90.00 beta=90.00 gamma=90.00
Last column: nearest neighbours and their distance in Å.
Space group P4/mmm (No. 123)
Asymmetric unit:
1 Be 0.0000 0.0000 0.0000  2 O 1.47
2 P 0.0000 0.5000 0.0000  2 Be 2.25
3 O 0.0000 0.0000 0.5000  2 Be 1.47
4 O 0.5000 0.5000 0.5000  8 P 2.69, 2 O 2.93

Calculated values
DFT total energy in eV/atom: -4.60
Distance to the lowest polymorph of the same formula in eV per atom: 0.7154
Density of states at the Fermi level in states/eV per atom: 0.755
Magnetic moment in μB/atom: 0.0000
Formation energy from raw total energies in eV/atom: 0.29

***

Below is EuTlPt after structural relaxation, with properties calculated at the PBE level.

Unit cell a=6.9073 b=6.9073 c=6.9073 alpha=90.00 beta=90.00 gamma=90.00
Last column: nearest neighbours and their distance in Å.
Space group F-43m (No. 216)
Asymmetric unit:
1 Eu 0.0000 0.0000 0.0000  4 Pt 2.99
2 Tl 0.0000 0.0000 0.5000  4 Pt 2.99
3 Pt 0.2500 0.2500 0.7500  4 Tl 2.99, 4 Eu 2.99

Calculated values
Energy of formation in eV/f.u.: -1.8
DFT total energy in eV/atom: -6.82
Density of states at the Fermi level in states/eV per atom: 2.349
Magnetic moment in μB/atom: 2.3538

***

Below is ZnFeAsSe2 after structural relaxation, with properties calculated at the PBE level.

Unit cell a=4.8515 b=4.8515 c=4.5065 alpha=90.00 beta=90.00 gamma=90.00
Last column: nearest neighbours and their distance in Å.
Space group P4/mmm (No. 123)
Asymmetric unit:
1 Zn 0.0000 0.0000 0.0000  8 Se 3.31, 4 As 3.43
2 Fe 0.5000 0.5000 0.5000  2 As 2.25, 4 Se 2.43
3 As 0.5000 0.5000 0.0000  2 Fe 2.25
4 Se 0.0000 0.5000 0.5000  2 Fe 2.43

Calculated values
DFT total energy in eV/atom: -3.88
Distance to the lowest polymorph of the same formula in eV per atom: 0.0000
Density of states at the Fermi level in states/eV per atom: 1.120
Magnetic moment in μB/atom: 0.4352
Formation energy from raw total energies in eV/atom: 0.39

***

Below is LaSnI2N after structural relaxation, with properties calculated at the PBE level.

Unit cell a=6.5278 b=6.5278 c=4.1971 alpha=90.00 beta=90.00 gamma=90.00
Last column: nearest neighbours and their distance in Å.
Space group P4/mmm (No. 123)
Asymmetric unit:
1 La 0.0000 0.0000 0.0000  2 N 2.10
2 Sn 0.5000 0.5000 0.5000  8 I 3.88, 2 Sn 4.20
3 I 0.0000 0.5000 0.0000  2 La 3.26
4 N 0.0000 0.0000 0.5000  2 La 2.10

Calculated values
DFT total energy in eV/atom: -4.35
Distance to the lowest polymorph of the same formula in eV per atom: 0.0000
Density of states at the Fermi level in states/eV per atom: 0.707
Magnetic moment in μB/atom: 0.0747
Formation energy from raw total energies in eV/atom: -0.28

***

Below is Sc2BeOsF after structural relaxation, with properties calculated at the PBE level.

Unit cell a=4.2707 b=4.2707 c=4.3086 alpha=90.00 beta=90.00 gamma=90.00
Last column: nearest neighbours and their distance in Å.
Space group P4/mmm (No. 123)
Asymmetric unit:
1 Sc 0.0000 0.5000 0.0000  2 F 2.14
2 Be 0.0000 0.0000 0.5000  4 Os 3.02, 8 Sc 3.03
3 Os 0.5000 0.5000 0.5000  2 F 2.15
4 F 0.5000 0.5000 0.0000  4 Sc 2.14, 2 Os 2.15

Calculated values
DFT total energy in eV/atom: -6.05
Density of states at the Fermi level in states/eV per atom: 0.759
Magnetic moment in μB/atom: 0.0000
Formation energy from raw total energies in eV/atom: -0.16

***

Q: The highest density of states at the Fermi level belongs to which entry?
A: EuTlPt

***

Q: Which of these has the highest density of states at the Fermi level?
A: EuTlPt